Zn2NF | GGA-PBE | optimized geometry

extended XYZ file:
```
4
Lattice="3.381 -0.003 -0.001 1.688 2.929 -0.001 1.688 0.973 5.717" Properties=species:S:1:pos:R:3 pbc="T T T"
Zn 2.264 2.176 2.909
Zn 2.273 0.228 0.699
N 2.270 2.180 0.998
F 3.957 1.199 3.844
```

Symmetry   Cm, No. 8
Spin magnetization   0.00 μB/cell
Formation energy without anion corrections   -0.682 eV/atom
Uncorrected energy   -15.47 eV for the cell shown